## CoRh (PBE)

Data for a geometry-optimized CoRh structure.

Summary:
Calculated density (g/cm3): 10.41
Space group: R-3m (166)
Magnetization (μB/f.u.): 2.35
Calculated formation energy (meV/atom): 70

Lattice parameters (Å, degrees): 4.505 4.505 4.505 34.24 34.24 34.24
Fractional coordinates of all 2 atoms:
Co1 0.000 0.000 0.000
Rh1 0.500 0.500 0.500